(1)
{
  "formula": "LiOs",
  "functional": "GGA-PBEsol",
  "state": "relaxed",
  "formation_energy_mev_per_atom": 756.0,
  "n_ef_per_ev_cell": 5.89,
  "magmom_total_mub_per_fu": 0.00,
  "lattice": [[-0.6139, -2.3590, -1.4984], [1.5311, -0.1936, 2.4094], [-10.7049, -1.4605, 6.6855]],
  "species": ["Li", "Li", "Li", "Li", "Os", "Os", "Os", "Os"],
  "fractional_positions": [[0.6667, 0.3333, 0.2500], [0.3333, 0.6667, 0.7500], [0.0000, 0.0000, 0.2500], [0.0000, 0.0000, 0.7500], [0.3333, 0.6667, 0.0792], [0.6667, 0.3333, 0.5792], [0.6667, 0.3333, 0.9208], [0.3333, 0.6667, 0.4208]]
}

(2)
{
  "formula": "Li3Os2",
  "functional": "GGA-PBEsol",
  "state": "relaxed",
  "formation_energy_mev_per_atom": 186.5,
  "n_ef_per_ev_cell": 2.92,
  "magmom_total_mub_per_fu": 0.00,
  "lattice": [[2.6286, 0.0000, 0.0000], [1.3143, 2.2764, 0.0000], [1.3143, 0.7588, 11.6332]],
  "species": ["Li", "Li", "Li", "Os", "Os"],
  "fractional_positions": [[0.0000, 0.0000, 0.0000], [0.2050, 0.2050, 0.3849], [0.7950, 0.7950, 0.6151], [0.3987, 0.3987, 0.8040], [0.6013, 0.6013, 0.1960]]
}

(3)
{
  "formula": "Li3Os",
  "functional": "GGA-PBEsol",
  "state": "relaxed",
  "formation_energy_mev_per_atom": 149.7,
  "n_ef_per_ev_cell": 2.53,
  "magmom_total_mub_per_fu": 0.00,
  "de_polymorph_mev_per_atom": 0.1,
  "lattice": [[-1.3742, -1.1641, -1.9617], [1.1951, -0.5587, -2.3133], [2.4434, -9.2323, 1.9592]],
  "species": ["Li", "Li", "Li", "Os"],
  "fractional_positions": [[0.7427, 0.7427, 0.7720], [0.5000, 0.5000, 0.5000], [0.2573, 0.2573, 0.2280], [0.0000, 0.0000, 0.0000]]
}

(4)
{
  "formula": "LiOs3",
  "functional": "GGA-PBEsol",
  "state": "relaxed",
  "formation_energy_mev_per_atom": 264.4,
  "n_ef_per_ev_cell": 2.94,
  "magmom_total_mub_per_fu": 0.00,
  "lattice": [[-1.4929, -2.2443, 0.0708], [3.5039, -2.3146, 0.5107], [-0.4032, 0.4148, 4.6459]],
  "species": ["Os", "Os", "Os", "Li"],
  "fractional_positions": [[0.5000, 0.5000, 0.8331], [0.5000, 0.0000, 0.5194], [0.0000, 0.5000, 0.3107], [0.0000, 0.0000, 0.0035]]
}